No. 1
The following is a GGA-PBE calculation of a relaxed SmY2OsC2 crystal, from Alexandria.

Computed properties:
M_tot in Bohr magnetons per cell: 0.000
Calculated total energy in eV/atom: -8.087
N(E_F) in states/eV/atom: 0.648

a b c (Å): 5.639 11.093 3.774
angles (deg): 90.00 90.00 90.00
Space group Pnnm (No. 58)
Unique sites:
Sm 0.000 0.000 0.000
Y 0.035 0.294 0.500
Os 0.000 0.500 0.000
C 0.241 0.878 0.500


No. 2
The following is a GGA-PBE calculation of a relaxed GaHg3 crystal, from Alexandria.

Computed properties:
M_tot in Bohr magnetons per cell: 0.000
Calculated total energy in eV/atom: -0.915
N(E_F) in states/eV/atom: 0.400

a b c (Å): 3.203 12.619 5.065
angles (deg): 90.00 90.00 90.00
Space group Imm2 (No. 44)
Unique sites:
Ga 0.000 0.000 0.000
Hg 0.000 0.293 0.502
Hg 0.000 0.500 0.000


No. 3
The following is a GGA-PBE calculation of a relaxed YBi3Pd12 crystal, from Alexandria.

Computed properties:
M_tot in Bohr magnetons per cell: 0.000
Calculated total energy in eV/atom: -5.419
N(E_F) in states/eV/atom: 0.399

a b c (Å): 4.142 4.142 16.501
angles (deg): 90.00 90.00 90.00
Space group P4/mmm (No. 123)
Unique sites:
Y 0.000 0.000 0.000
Bi 0.000 0.000 0.248
Bi 0.000 0.000 0.500
Pd 0.000 0.500 0.125
Pd 0.000 0.500 0.375
Pd 0.500 0.500 0.000
Pd 0.500 0.500 0.253
Pd 0.500 0.500 0.500


No. 4
The following is a GGA-PBE calculation of a relaxed BaLiZn2Rh crystal, from Alexandria.

Computed properties:
M_tot in Bohr magnetons per cell: 0.000
Calculated total energy in eV/atom: -2.994
N(E_F) in states/eV/atom: 0.448

a b c (Å): 4.944 4.944 4.857
angles (deg): 90.00 90.00 90.00
Space group P4/mmm (No. 123)
Unique sites:
Ba 0.000 0.000 0.000
Li 0.500 0.500 0.000
Zn 0.000 0.500 0.500
Rh 0.500 0.500 0.500


No. 5
The following is a GGA-PBE calculation of a relaxed LaSmZn crystal, from Alexandria.

Computed properties:
ΔE to the lowest computed polymorph in eV per atom: 0.212
M_tot in Bohr magnetons per cell: 0.004
Calculated total energy in eV/atom: -3.625
N(E_F) in states/eV/atom: 1.441

a b c (Å): 10.211 5.121 7.146
angles (deg): 90.00 90.00 90.00
Space group Pnma (No. 62)
Unique sites:
La 0.101 0.250 0.020
Sm 0.131 0.250 0.517
Zn 0.131 0.750 0.273


No. 6
The following is a GGA-PBE calculation of a relaxed La16Pm6Nd7 crystal, from Alexandria.

Computed properties:
M_tot in Bohr magnetons per cell: 0.004
Calculated total energy in eV/atom: -4.666
N(E_F) in states/eV/atom: 1.705

a b c (Å): 16.198 16.198 16.198
angles (deg): 90.00 90.00 90.00
Space group Fm-3m (No. 225)
Unique sites:
La 0.121 0.121 0.121
La 0.155 0.155 0.345
Pm 0.000 0.000 0.295
Nd 0.000 0.000 0.000
Nd 0.000 0.250 0.250


No. 7
The following is a GGA-PBE calculation of a relaxed In2TeS crystal, from Alexandria.

Computed properties:
ΔE to the lowest computed polymorph in eV per atom: 0.108
Raw formation energy in eV/atom: -0.2224
M_tot in Bohr magnetons per cell: 0.000
Calculated total energy in eV/atom: -3.409
N(E_F) in states/eV/atom: 0.128

a b c (Å): 7.474 7.474 8.638
angles (deg): 90.00 90.00 90.00
Space group I-42d (No. 122)
Unique sites:
In 0.217 0.250 0.125
Te 0.000 0.000 0.500
S 0.000 0.000 0.000


No. 8
The following is a GGA-PBE calculation of a relaxed CaCd6Hg3 crystal, from Alexandria.

Computed properties:
M_tot in Bohr magnetons per cell: 0.000
Calculated total energy in eV/atom: -0.872
N(E_F) in states/eV/atom: 0.359

a b c (Å): 10.9559 10.9559 7.9355
angles (deg): 90.00 90.00 120.00
Space group R3m (No. 160, hexagonal axes)
Unique sites:
Ca 0.0000 0.0000 0.0000
Cd 0.0161 0.5081 0.4237
Cd 0.1855 0.0928 0.3893
Hg 0.1865 0.3730 0.3963